--- 1 ---
The following is a GGA-PBE calculation of an optimized crystal structure of Pm8Al2In, from the Alexandria database.

```
Pm8Al2In
1.0
4.885 0.000 -1.483
-1.053 7.801 -3.469
0.068 -0.726 9.009
Pm Al In
8 2 1
Direct
0.661 0.880 0.322
0.339 0.558 0.678
0.145 0.145 0.289
0.000 0.314 0.000
0.855 0.855 0.711
0.661 0.442 0.322
0.339 0.120 0.678
0.000 0.686 0.000
0.193 0.693 0.385
0.807 0.307 0.615
0.500 0.000 0.000
```

Total moment in Bohr magnetons per cell: 0.00
Theoretical density in kg/m3: 6673

=====

--- 2 ---
The following is a GGA-PBE calculation of an optimized crystal structure of Pm8Al2In, from the Alexandria database.

```
Pm8Al2In
1.0
-1.190 4.868 -0.240
-4.932 -1.520 -6.362
-3.544 -3.077 7.604
Pm Al In
8 2 1
Direct
0.394 0.541 0.789
0.680 0.945 0.361
0.850 0.781 0.700
0.946 0.271 0.891
0.150 0.219 0.300
0.320 0.055 0.639
0.606 0.459 0.211
0.054 0.729 0.109
0.778 0.350 0.556
0.222 0.650 0.444
0.500 0.000 0.000
```

Total moment in Bohr magnetons per cell: 0.00
Theoretical density in kg/m3: 6746

=====

Least stable of them? 1.

=====

--- 1 ---
The following is a GGA-PBE calculation of an optimized crystal structure of TbPmAlIn, from the Alexandria database.

```
TbPmAlIn
1.0
3.716 0.000 0.000
0.000 3.716 0.000
0.000 0.000 7.567
Tb Pm Al In
1 1 1 1
Direct
0.500 0.500 0.597
0.500 0.500 0.118
0.000 0.000 0.365
0.000 0.000 0.849
```

Total moment in Bohr magnetons per cell: 0.00
Theoretical density in kg/m3: 7082

=====

--- 2 ---
The following is a GGA-PBE calculation of an optimized crystal structure of TbPmAlIn, from the Alexandria database.

```
TbPmAlIn
1.0
5.290 0.000 0.000
2.645 4.581 0.000
2.645 1.527 4.319
In Tb Al Pm
1 1 1 1
Direct
0.250 0.250 0.250
0.500 0.500 0.500
0.750 0.750 0.750
0.000 0.000 0.000
```

Total moment in Bohr magnetons per cell: 0.00
Theoretical density in kg/m3: 7071

=====

Least stable of them? 2.

=====

--- 1 ---
The following is a GGA-PBE calculation of an optimized crystal structure of PmTmAlIn, from the Alexandria database.

```
PmTmAlIn
1.0
3.682 0.000 0.000
0.000 3.682 0.000
0.000 0.000 7.515
Pm Tm Al In
1 1 1 1
Direct
0.500 0.500 0.118
0.500 0.500 0.596
0.000 0.000 0.371
0.000 0.000 0.842
```

Total moment in Bohr magnetons per cell: 0.00
Theoretical density in kg/m3: 7429

=====

--- 2 ---
The following is a GGA-PBE calculation of an optimized crystal structure of PmTmAlIn, from the Alexandria database.

```
PmTmAlIn
1.0
5.251 0.000 0.000
2.626 4.548 0.000
2.626 1.516 4.288
Tm In Al Pm
1 1 1 1
Direct
0.500 0.500 0.500
0.250 0.250 0.250
0.750 0.750 0.750
0.000 0.000 0.000
```

Total moment in Bohr magnetons per cell: 0.00
Theoretical density in kg/m3: 7390

=====

Least stable of them? 2.

=====

--- 1 ---
The following is a GGA-PBE calculation of an optimized crystal structure of PmYAlIn, from the Alexandria database.

```
PmYAlIn
1.0
3.708 0.000 0.000
0.000 3.708 0.000
0.000 0.000 7.572
Pm Y Al In
1 1 1 1
Direct
0.500 0.500 0.118
0.500 0.500 0.597
0.000 0.000 0.366
0.000 0.000 0.847
```

Total moment in Bohr magnetons per cell: 0.00
Theoretical density in kg/m3: 5993

=====

--- 2 ---
The following is a GGA-PBE calculation of an optimized crystal structure of PmYAlIn, from the Alexandria database.

```
PmYAlIn
1.0
-4.158 1.097 -3.070
-3.743 -3.647 -0.780
-4.784 0.622 2.155
Y In Al Pm
1 1 1 1
Direct
0.750 0.750 0.750
0.000 0.000 0.000
0.500 0.500 0.500
0.250 0.250 0.250
```

Total moment in Bohr magnetons per cell: 0.00
Theoretical density in kg/m3: 5981

=====

Least stable of them? 2.

=====

--- 1 ---
The following is a GGA-PBE calculation of an optimized crystal structure of Pr8Al2In, from the Alexandria database.

```
Pr8Al2In
1.0
-3.940 -0.814 -3.237
5.657 -1.019 -6.630
-0.505 -6.567 6.385
Pr Al In
8 2 1
Direct
0.661 0.881 0.322
0.339 0.560 0.678
0.145 0.145 0.290
0.000 0.316 0.000
0.855 0.855 0.710
0.661 0.440 0.322
0.339 0.119 0.678
0.000 0.684 0.000
0.193 0.693 0.385
0.807 0.307 0.615
0.500 0.000 0.000
```

Total moment in Bohr magnetons per cell: 0.00
Theoretical density in kg/m3: 6224

=====

--- 2 ---
The following is a GGA-PBE calculation of an optimized crystal structure of Pr8Al2In, from the Alexandria database.

```
Pr8Al2In
1.0
-2.978 0.950 -3.980
-5.112 -5.932 2.409
-0.826 7.257 5.568
Pr Al In
8 2 1
Direct
0.397 0.546 0.795
0.677 0.940 0.353
0.837 0.759 0.675
0.950 0.263 0.901
0.163 0.241 0.325
0.323 0.060 0.647
0.603 0.454 0.205
0.050 0.737 0.099
0.784 0.338 0.568
0.216 0.662 0.432
0.500 0.000 0.000
```

Total moment in Bohr magnetons per cell: 0.00
Theoretical density in kg/m3: 6278

=====

Least stable of them? 1.

=====

--- 1 ---
The following is a GGA-PBE calculation of an optimized crystal structure of Pr3AlIn, from the Alexandria database.

```
Pr3AlIn
1.0
-0.951 -4.468 2.642
7.972 -0.090 2.719
-5.939 3.926 4.503
Pr Al In
6 2 2
Direct
0.250 0.809 0.191
0.750 0.191 0.809
0.250 0.808 0.617
0.750 0.192 0.383
0.250 0.383 0.192
0.750 0.617 0.808
0.000 0.000 0.000
0.500 0.000 0.000
0.250 0.334 0.666
0.750 0.666 0.334
```

Total moment in Bohr magnetons per cell: 0.00
Theoretical density in kg/m3: 5780

=====

--- 2 ---
The following is a GGA-PBE calculation of an optimized crystal structure of Pr3AlIn, from the Alexandria database.

```
Pr3AlIn
1.0
4.956 0.000 1.133
0.000 5.084 0.000
-0.108 0.000 11.882
Pr Al In
6 2 2
Direct
0.760 0.250 0.128
0.388 0.250 0.872
0.574 0.250 0.500
0.260 0.750 0.128
0.888 0.750 0.872
0.074 0.750 0.500
0.669 0.750 0.311
0.980 0.250 0.689
0.480 0.750 0.688
0.168 0.250 0.312
```

Total moment in Bohr magnetons per cell: 0.00
Theoretical density in kg/m3: 6250

=====

Least stable of them? 1.

=====

--- 1 ---
The following is a GGA-PBE calculation of an optimized crystal structure of PrYAlIn, from the Alexandria database.

```
PrYAlIn
1.0
-1.730 3.295 0.397
-2.784 -1.196 -2.197
-3.667 -2.660 6.095
Pr Y Al In
1 1 1 1
Direct
0.500 0.500 0.117
0.500 0.500 0.597
0.000 0.000 0.372
0.000 0.000 0.842
```

Total moment in Bohr magnetons per cell: 0.00
Theoretical density in kg/m3: 5800

=====

--- 2 ---
The following is a GGA-PBE calculation of an optimized crystal structure of PrYAlIn, from the Alexandria database.

```
PrYAlIn
1.0
-4.077 2.756 -2.031
-4.855 -0.468 2.134
-2.104 4.050 2.741
Pr Y Al In
1 1 1 1
Direct
0.500 0.500 0.500
0.000 0.000 0.000
0.750 0.750 0.750
0.250 0.250 0.250
```

Total moment in Bohr magnetons per cell: 0.00
Theoretical density in kg/m3: 5783

=====

Least stable of them? 2.

=====

--- 1 ---
The following is a GGA-PBE calculation of an optimized crystal structure of AlIn3Pt, from the Alexandria database.

```
AlIn3Pt
1.0
-4.632 -2.272 -0.199
2.006 -4.273 2.090
-1.084 1.798 4.717
Al Pt In
1 1 3
Direct
0.000 0.000 0.000
0.500 0.500 0.500
0.000 0.500 0.000
0.000 0.000 0.500
0.500 0.000 0.000
```

Total moment in Bohr magnetons per cell: 0.00
Theoretical density in kg/m3: 6836

=====

--- 2 ---
The following is a GGA-PBE calculation of an optimized crystal structure of AlIn3Pt, from the Alexandria database.

```
AlIn3Pt
1.0
-1.058 -0.448 -5.060
-2.173 -4.631 0.864
-4.591 2.296 0.756
Al Pt In
1 1 3
Direct
0.500 0.500 0.500
0.000 0.000 0.000
0.000 0.500 0.000
0.000 0.000 0.500
0.500 0.000 0.000
```

Total moment in Bohr magnetons per cell: 0.00
Theoretical density in kg/m3: 6735

=====

Least stable of them? 1.

=====

--- 1 ---
The following is a GGA-PBE calculation of an optimized crystal structure of AlInPt3, from the Alexandria database.

```
AlInPt3
1.0
4.921 0.000 0.000
0.000 4.921 0.000
0.000 0.000 4.921
Al Pt In
1 3 1
Direct
0.500 0.500 0.500
0.000 0.500 0.000
0.000 0.000 0.500
0.500 0.000 0.000
0.000 0.000 0.000
```

Total moment in Bohr magnetons per cell: 0.00
Theoretical density in kg/m3: 10134

=====

--- 2 ---
The following is a GGA-PBE calculation of an optimized crystal structure of AlInPt3, from the Alexandria database.

```
AlInPt3
1.0
-0.135 0.544 -4.568
1.944 -4.134 -0.550
-4.169 -1.946 -0.108
Al Pt In
1 3 1
Direct
0.000 0.000 0.000
0.000 0.500 0.000
0.000 0.000 0.500
0.500 0.000 0.000
0.500 0.500 0.500
```

Total moment in Bohr magnetons per cell: 0.00
Theoretical density in kg/m3: 12389

=====

Least stable of them? 1.

=====

--- 1 ---
The following is a GGA-PBE calculation of an optimized crystal structure of Rb2Al2In, from the Alexandria database.

```
Rb2Al2In
1.0
-0.601 10.764 -1.389
-10.716 -0.368 1.786
0.517 0.441 3.191
Al Rb In
4 4 2
Direct
0.085 0.585 0.500
0.585 0.915 0.500
0.915 0.415 0.500
0.415 0.085 0.500
0.297 0.797 0.000
0.797 0.703 0.000
0.703 0.203 0.000
0.203 0.297 0.000
0.000 0.000 0.000
0.500 0.500 0.000
```

Total moment in Bohr magnetons per cell: 0.00
Theoretical density in kg/m3: 2927

=====

--- 2 ---
The following is a GGA-PBE calculation of an optimized crystal structure of Rb2Al2In, from the Alexandria database.

```
Rb2Al2In
1.0
3.841 0.000 0.000
0.000 3.841 0.000
1.920 1.920 12.498
Al Rb In
2 2 1
Direct
0.750 0.250 0.500
0.250 0.750 0.500
0.385 0.385 0.231
0.615 0.615 0.769
0.000 0.000 0.000
```

Total moment in Bohr magnetons per cell: 0.00
Theoretical density in kg/m3: 3060

=====

Least stable of them? 1.

=====

--- 1 ---
The following is a GGA-PBE calculation of an optimized crystal structure of RbAlIn3, from the Alexandria database.

```
RbAlIn3
1.0
-2.217 2.856 5.134
-1.219 -5.591 2.584
5.747 -0.085 2.529
Al Rb In
1 1 3
Direct
0.500 0.500 0.500
0.000 0.000 0.000
0.000 0.500 0.000
0.000 0.000 0.500
0.500 0.000 0.000
```

Total moment in Bohr magnetons per cell: 0.00
Theoretical density in kg/m3: 3065

=====

--- 2 ---
The following is a GGA-PBE calculation of an optimized crystal structure of RbAlIn3, from the Alexandria database.

```
RbAlIn3
1.0
-3.993 -2.319 3.082
3.857 -2.365 3.218
-0.031 4.456 3.312
Al Rb In
1 1 3
Direct
0.000 0.000 0.000
0.500 0.500 0.500
0.000 0.500 0.000
0.000 0.000 0.500
0.500 0.000 0.000
```

Total moment in Bohr magnetons per cell: 0.00
Theoretical density in kg/m3: 4434

=====

Least stable of them? 1.

=====

--- 1 ---
The following is a GGA-PBE calculation of an optimized crystal structure of Rb2AlIn, from the Alexandria database.

```
Rb2AlIn
1.0
-4.726 -4.616 -12.203
7.559 -11.548 1.440
-0.589 -9.243 -4.166
Al Rb In
2 4 2
Direct
0.500 0.500 0.000
0.250 0.750 0.500
0.434 0.125 0.250
0.316 0.625 0.250
0.375 0.566 0.750
0.875 0.684 0.750
0.000 0.000 0.000
0.750 0.250 0.500
```

Total moment in Bohr magnetons per cell: 0.00
Theoretical density in kg/m3: 2061

=====

--- 2 ---
The following is a GGA-PBE calculation of an optimized crystal structure of Rb2AlIn, from the Alexandria database.

```
Rb2AlIn
1.0
3.707 -4.940 -0.222
-2.100 -5.339 -2.299
2.087 -2.055 -5.443
Al Rb In
1 2 1
Direct
0.000 0.000 0.000
0.250 0.250 0.250
0.750 0.750 0.750
0.500 0.500 0.500
```

Total moment in Bohr magnetons per cell: 0.00
Theoretical density in kg/m3: 3111

=====

Least stable of them? 2.